First-principles (PBE-GGA) data for an optimized crystal structure of Tb4TmMgSe8, as listed in Alexandria via LeMat-Bulk.

a = 8.3469 Å, b = 8.3469 Å, c = 8.3469 Å
α = 60.05°, β = 60.05°, γ = 60.05°
With the nearest neighbours (Å) after each atom.
Positions (direct):
Tb (0.0000, 0.0000, 0.0000)  4 Se 2.73-2.74
Tb (0.3786, 0.3786, 0.8656)  6 Se 2.87-2.91
Tb (0.3786, 0.8656, 0.3786)  6 Se 2.87-2.91
Tb (0.8656, 0.3786, 0.3786)  6 Se 2.87-2.91
Tm (0.3788, 0.3788, 0.3788)  6 Se 2.84-2.86
Mg (0.7501, 0.7501, 0.7501)  4 Se 2.62-2.64
Se (0.1334, 0.1334, 0.1334)  4 Tb 2.73-2.90
Se (0.1368, 0.1368, 0.5984)  3 Tb 2.74-2.91, 1 Tm 2.86
Se (0.1368, 0.5984, 0.1368)  3 Tb 2.74-2.91, 1 Tm 2.86
Se (0.1366, 0.6195, 0.6195)  1 Mg 2.64, 1 Tm 2.84, 2 Tb 2.88
Se (0.5984, 0.1368, 0.1368)  3 Tb 2.74-2.91, 1 Tm 2.86
Se (0.6195, 0.1366, 0.6195)  1 Mg 2.64, 1 Tm 2.84, 2 Tb 2.88
Se (0.6195, 0.6195, 0.1366)  1 Mg 2.64, 1 Tm 2.84, 2 Tb 2.88
Se (0.6220, 0.6220, 0.6220)  1 Mg 2.62, 3 Tb 2.87

- D(E_F): 3.82 states/eV/f.u.
- Crystal system: trigonal
- Space group: No. 160
- Electronic total energy: -76.48 eV for the cell shown
- ΔE_f (raw): -1716 meV per atom

***

First-principles (PBE-GGA) data for an optimized crystal structure of KCeZnO4, as listed in Alexandria via LeMat-Bulk.

a = 5.7841 Å, b = 5.0497 Å, c = 8.4963 Å
α = 90.00°, β = 107.78°, γ = 90.00°
With the nearest neighbours (Å) after each atom.
Positions (direct):
K (0.0834, 0.2500, 0.1323)  6 O 2.69-2.78
K (0.9166, 0.7500, 0.8677)  6 O 2.69-2.78
Ce (0.2369, 0.7500, 0.4525)  6 O 2.18-2.42
Ce (0.7631, 0.2500, 0.5475)  6 O 2.18-2.42
Zn (0.3046, 0.2500, 0.7162)  3 O 1.87-1.92
Zn (0.6954, 0.7500, 0.2838)  3 O 1.87-1.92
O (0.0416, 0.2500, 0.8000)  1 Zn 1.87
O (0.0790, 0.2500, 0.4585)  1 Zn 2.18, 1 Ce 2.18
O (0.4841, 0.0129, 0.3278)  1 Zn 1.92
O (0.4841, 0.4871, 0.3278)  1 Zn 1.92
O (0.5159, 0.5129, 0.6722)  1 Zn 1.92
O (0.5159, 0.9871, 0.6722)  1 Zn 1.92
O (0.9210, 0.7500, 0.5415)  1 Zn 2.18, 1 Ce 2.18
O (0.9584, 0.7500, 0.2000)  1 Zn 1.87

- D(E_F): 2.11 states/eV/f.u.
- Crystal system: monoclinic
- Space group: No. 11
- Electronic total energy: -84.14 eV for the cell shown
- ΔE_f (raw): -1990 meV per atom